# 1
Computed, not measured: a relaxed structure of RbCa2Br2 at the PBE level of DFT.

a = 7.8355 Å, b = 7.8355 Å, c = 7.8355 Å
α = 139.52°, β = 139.52°, γ = 58.59°
Sites, in units of the cell vectors:
Rb  0.0000  0.0000  0.0000
Ca  0.3630  0.3630  0.0000
Ca  0.6370  0.6370  0.0000
Br  0.2500  0.7500  0.5000
Br  0.7500  0.2500  0.5000

- Formation energy without anion corrections: -23.84 kcal/mol of atoms
- ΔE to the lowest computed polymorph: 0.000 eV/f.u.

=====

# 2
Computed, not measured: a relaxed structure of Ta2CrSe2S4 at the PBE level of DFT.

a = 3.3087 Å, b = 3.3087 Å, c = 20.8383 Å
α = 90.00°, β = 90.00°, γ = 120.00°
Sites, in units of the cell vectors:
Ta  0.0000  0.0000  0.0000
Ta  0.3333  0.6667  0.3263
Cr  0.3333  0.6667  0.6751
Se  0.0000  0.0000  0.6009
Se  0.0000  0.0000  0.7492
S  0.0000  0.0000  0.2508
S  0.0000  0.0000  0.4018
S  0.3333  0.6667  0.0754
S  0.3333  0.6667  0.9245

- Formation energy without anion corrections: -19.79 kcal/mol of atoms

=====

# 3
Computed, not measured: a relaxed structure of CePd6Au at the PBE level of DFT.

a = 5.7211 Å, b = 5.7211 Å, c = 4.1358 Å
α = 90.00°, β = 90.00°, γ = 90.00°
Sites, in units of the cell vectors:
Ce  0.0000  0.0000  0.0000
Pd  0.0000  0.5000  0.0000
Pd  0.2518  0.2518  0.5000
Pd  0.2518  0.7482  0.5000
Pd  0.5000  0.0000  0.0000
Pd  0.7482  0.2518  0.5000
Pd  0.7482  0.7482  0.5000
Au  0.5000  0.5000  0.0000

- ΔE to the lowest computed polymorph: 0.000 eV/f.u.

=====

# 4
Computed, not measured: a relaxed structure of Ba2InNi9 at the PBE level of DFT.

a = 9.1391 Å, b = 9.1391 Å, c = 9.1391 Å
α = 32.09°, β = 32.09°, γ = 32.09°
Sites, in units of the cell vectors:
Ba  0.1365  0.1365  0.1365
Ba  0.8635  0.8635  0.8635
In  0.0000  0.0000  0.0000
Ni  0.0780  0.5723  0.5723
Ni  0.3322  0.3322  0.3322
Ni  0.4277  0.4277  0.9220
Ni  0.4277  0.9220  0.4277
Ni  0.5000  0.5000  0.5000
Ni  0.5723  0.0780  0.5723
Ni  0.5723  0.5723  0.0780
Ni  0.6678  0.6678  0.6678
Ni  0.9220  0.4277  0.4277

=====

# 5
Computed, not measured: a relaxed structure of Sm7Dy2Th2 at the PBE level of DFT.

a = 8.0659 Å, b = 8.0659 Å, c = 6.1470 Å
α = 105.59°, β = 105.59°, γ = 91.29°
Sites, in units of the cell vectors:
Sm  0.0000  0.0000  0.0000
Sm  0.0611  0.5871  0.8297
Sm  0.2348  0.2348  0.5868
Sm  0.4129  0.9389  0.1703
Sm  0.5871  0.0611  0.8297
Sm  0.7652  0.7652  0.4132
Sm  0.9389  0.4129  0.1703
Dy  0.2214  0.7786  0.5000
Dy  0.7786  0.2214  0.5000
Th  0.4225  0.4225  0.1957
Th  0.5775  0.5775  0.8043

- ΔE to the lowest computed polymorph: 0.000 eV/f.u.

=====

# 6
Computed, not measured: a relaxed structure of Ca2SbI2 at the PBE level of DFT.

a = 4.3258 Å, b = 4.3258 Å, c = 12.9199 Å
α = 100.68°, β = 100.68°, γ = 60.19°
Sites, in units of the cell vectors:
Ca  0.2278  0.2278  0.1679
Ca  0.7722  0.7722  0.8321
Sb  0.5000  0.5000  0.0000
I  0.0515  0.0515  0.6851
I  0.9485  0.9485  0.3149

- Formation energy without anion corrections: -28.53 kcal/mol of atoms

=====

# 7
Computed, not measured: a relaxed structure of Pm8IrRh2 at the PBE level of DFT.

a = 7.6613 Å, b = 7.6613 Å, c = 6.3793 Å
α = 101.35°, β = 101.35°, γ = 113.71°
Sites, in units of the cell vectors:
Pm  0.0000  0.0000  0.0000
Pm  0.0071  0.2699  0.5667
Pm  0.1469  0.5528  0.1848
Pm  0.2699  0.0071  0.5667
Pm  0.4360  0.6998  0.7886
Pm  0.5528  0.1469  0.1848
Pm  0.6998  0.4360  0.7886
Pm  0.7059  0.7059  0.3736
Ir  0.3549  0.3549  0.3791
Rh  0.0428  0.6696  0.6853
Rh  0.6696  0.0428  0.6853

- ΔE to the lowest computed polymorph: 0.584 eV/f.u.

=====

# 8
Computed, not measured: a relaxed structure of LiNd3Hg4 at the PBE level of DFT.

a = 9.3645 Å, b = 9.3645 Å, c = 9.3645 Å
α = 32.64°, β = 32.64°, γ = 32.64°
Sites, in units of the cell vectors:
Li  0.0000  0.0000  0.0000
Nd  0.2559  0.2559  0.2559
Nd  0.5000  0.5000  0.5000
Nd  0.7441  0.7441  0.7441
Hg  0.1217  0.1217  0.1217
Hg  0.3735  0.3735  0.3735
Hg  0.6265  0.6265  0.6265
Hg  0.8783  0.8783  0.8783

=====

# 9
Computed, not measured: a relaxed structure of YO5 at the PBE level of DFT.

a = 3.6734 Å, b = 3.6734 Å, c = 9.4268 Å
α = 103.62°, β = 103.62°, γ = 60.14°
Sites, in units of the cell vectors:
Y  0.0000  0.0000  0.0000
O  0.0793  0.0793  0.7689
O  0.2901  0.2901  0.8502
O  0.4915  0.4915  0.3727
O  0.6307  0.6307  0.4929
O  0.6911  0.6911  0.0665

- Formation energy without anion corrections: -29.02 kcal/mol of atoms

=====

# 10
Computed, not measured: a relaxed structure of CuNi5Rh8 at the PBE level of DFT.

a = 6.3037 Å, b = 6.3037 Å, c = 6.3037 Å
α = 110.74°, β = 110.74°, γ = 106.96°
Sites, in units of the cell vectors:
Cu  0.0000  0.0000  0.0000
Ni  0.0369  0.2143  0.5901
Ni  0.2500  0.7500  0.5000
Ni  0.5532  0.9631  0.1774
Ni  0.6242  0.4468  0.4099
Ni  0.7857  0.3758  0.8226
Rh  0.0940  0.6734  0.7731
Rh  0.2677  0.5061  0.0973
Rh  0.3266  0.0997  0.4206
Rh  0.4088  0.1704  0.9027
Rh  0.4939  0.5912  0.7616
Rh  0.6791  0.9060  0.5794
Rh  0.8296  0.7323  0.2384
Rh  0.9003  0.3209  0.2269

=====

# 11
Computed, not measured: a relaxed structure of LiLaBeGa at the PBE level of DFT.

a = 4.6874 Å, b = 4.6874 Å, c = 4.6874 Å
α = 60.00°, β = 60.00°, γ = 60.00°
Sites, in units of the cell vectors:
Li  0.0000  0.0000  0.0000
La  0.2500  0.2500  0.2500
Be  0.5000  0.5000  0.5000
Ga  0.7500  0.7500  0.7500

=====

# 12
Computed, not measured: a relaxed structure of Na2TiSn2 at the PBE level of DFT.

a = 7.3952 Å, b = 7.3952 Å, c = 4.9754 Å
α = 90.00°, β = 90.00°, γ = 90.00°
Sites, in units of the cell vectors:
Na  0.1652  0.3348  0.0000
Na  0.3348  0.8348  0.0000
Na  0.6652  0.1652  0.0000
Na  0.8348  0.6652  0.0000
Ti  0.0000  0.0000  0.5000
Ti  0.5000  0.5000  0.5000
Sn  0.1451  0.6451  0.5000
Sn  0.3549  0.1451  0.5000
Sn  0.6451  0.8549  0.5000
Sn  0.8549  0.3549  0.5000

=====

In states/eV/f.u., the DOS at the Fermi energy values for the records above are, in order, 3.95 6.44 6.51 10.26 16.63 1.60 10.61 7.69 1.71 28.56 0.85 5.82.
In eV per atom, the final energy values for the records above are, in order, -2.697 -7.170 -5.537 -4.743 -5.012 -3.482 -5.962 -2.623 -6.467 -6.272 -3.534 -3.612.